The following is a DFT calculation (PBE-GGA) of Al2AgAu4 after structural relaxation. Values from VASP.

```
&SYSTEM
  ibrav = 0, nat = 28, ntyp = 3
/
ATOMIC_SPECIES
Au 196.97 Au.upf
Ag 107.87 Ag.upf
Al 26.98 Al.upf
ATOMIC_POSITIONS crystal
Au 0.250 0.420 0.049
Au 0.750 0.580 0.951
Ag 0.250 0.016 0.345
Au 0.250 0.089 0.942
Au 0.750 0.920 0.451
Au 0.750 0.241 0.309
Al 0.750 0.256 0.506
Al 0.750 0.588 0.744
Au 0.250 0.741 0.191
Au 0.750 0.589 0.558
Au 0.750 0.259 0.809
Al 0.250 0.756 0.994
Al 0.750 0.912 0.244
Au 0.250 0.411 0.442
Al 0.250 0.744 0.494
Au 0.250 0.113 0.156
Al 0.750 0.244 0.006
Au 0.250 0.387 0.656
Au 0.750 0.887 0.844
Al 0.250 0.088 0.756
Au 0.250 0.080 0.549
Au 0.750 0.613 0.344
Ag 0.750 0.516 0.155
Ag 0.750 0.984 0.655
Ag 0.250 0.484 0.845
Al 0.250 0.412 0.256
Au 0.750 0.911 0.058
Au 0.250 0.759 0.691
CELL_PARAMETERS angstrom
4.564 0.000 0.000
0.000 7.561 0.000
0.000 0.000 14.211
```

As for the energy above the most stable polymorph in this dataset: 0.000 eV per atom. The value obtained for the total energy is -3.599 eV per atom. The value obtained for the total magnetization is 0.000 μB per formula unit.



The following is a DFT calculation (PBE-GGA) of Al2Ag3Au4 after structural relaxation. Values from VASP.

```
&SYSTEM
  ibrav = 0, nat = 9, ntyp = 3
/
ATOMIC_SPECIES
Au 196.97 Au.upf
Ag 107.87 Ag.upf
Al 26.98 Al.upf
ATOMIC_POSITIONS crystal
Au 0.330 0.660 0.872
Ag 0.664 0.327 0.464
Ag 0.336 0.673 0.536
Au 0.670 0.340 0.128
Ag 0.000 0.000 0.000
Al 0.337 0.674 0.207
Au 0.996 0.991 0.327
Au 0.004 0.009 0.673
Al 0.663 0.326 0.793
CELL_PARAMETERS angstrom
4.378 0.000 0.000
-2.189 4.058 0.642
0.000 -0.725 8.642
```

As for the energy above the most stable polymorph in this dataset: 0.005 eV per atom. The value obtained for the total energy is -3.407 eV per atom. The value obtained for the total magnetization is 0.000 μB per formula unit.



The following is a DFT calculation (PBE-GGA) of Al2AgAu6 after structural relaxation. Values from VASP.

```
&SYSTEM
  ibrav = 0, nat = 9, ntyp = 3
/
ATOMIC_SPECIES
Al 26.98 Al.upf
Au 196.97 Au.upf
Ag 107.87 Ag.upf
ATOMIC_POSITIONS crystal
Al 0.000 0.319 0.579
Au 0.500 0.490 0.490
Ag 0.500 0.055 0.055
Au 0.000 0.236 0.912
Au 0.500 0.572 0.074
Au 0.500 0.074 0.572
Al 0.000 0.579 0.319
Au 0.000 0.762 0.762
Au 0.000 0.912 0.236
CELL_PARAMETERS angstrom
4.307 0.000 0.000
0.000 5.953 -3.025
0.000 -0.230 6.674
```

As for the energy above the most stable polymorph in this dataset: 0.000 eV per atom. The value obtained for the total energy is -3.481 eV per atom. The value obtained for the total magnetization is 0.000 μB per formula unit.



The following is a DFT calculation (PBE-GGA) of AlAg3Au3 after structural relaxation. Values from VASP.

```
&SYSTEM
  ibrav = 0, nat = 14, ntyp = 3
/
ATOMIC_SPECIES
Au 196.97 Au.upf
Ag 107.87 Ag.upf
Al 26.98 Al.upf
ATOMIC_POSITIONS crystal
Au 0.866 0.513 0.684
Ag 0.125 0.875 0.500
Al 0.079 0.079 0.217
Ag 0.285 0.715 0.000
Au 0.134 0.487 0.316
Ag 0.625 0.625 0.371
Au 0.292 0.292 0.991
Ag 0.875 0.125 0.500
Al 0.921 0.921 0.783
Ag 0.715 0.285 0.000
Ag 0.375 0.375 0.629
Au 0.708 0.708 0.009
Au 0.513 0.866 0.684
Au 0.487 0.134 0.316
CELL_PARAMETERS angstrom
-6.735 0.088 1.393
3.934 -4.704 3.115
2.012 5.702 3.400
```

As for the energy above the most stable polymorph in this dataset: 0.113 eV per atom. The value obtained for the total energy is -3.158 eV per atom. The value obtained for the total magnetization is 0.000 μB per formula unit.



The following is a DFT calculation (PBE-GGA) of AlAg4Au after structural relaxation. Values from VASP.

```
&SYSTEM
  ibrav = 0, nat = 12, ntyp = 3
/
ATOMIC_SPECIES
Al 26.98 Al.upf
Au 196.97 Au.upf
Ag 107.87 Ag.upf
ATOMIC_POSITIONS crystal
Al 0.000 0.500 0.500
Au 0.000 0.000 0.000
Ag 0.332 0.000 0.000
Al 0.500 0.000 0.500
Ag 0.838 0.000 0.500
Ag 0.162 0.000 0.500
Ag 0.168 0.500 0.000
Ag 0.668 0.000 0.000
Ag 0.662 0.500 0.500
Au 0.500 0.500 0.000
Ag 0.338 0.500 0.500
Ag 0.832 0.500 0.000
CELL_PARAMETERS angstrom
-7.648 -6.166 8.991
1.568 -3.152 -0.828
3.025 0.703 3.055
```

As for the energy above the most stable polymorph in this dataset: 0.000 eV per atom. The value obtained for the total energy is -3.140 eV per atom. The value obtained for the total magnetization is 0.000 μB per formula unit.



The following is a DFT calculation (PBE-GGA) of AlAg2Au2 after structural relaxation. Values from VASP.

```
&SYSTEM
  ibrav = 0, nat = 5, ntyp = 3
/
ATOMIC_SPECIES
Au 196.97 Au.upf
Al 26.98 Al.upf
Ag 107.87 Ag.upf
ATOMIC_POSITIONS crystal
Au 0.406 0.406 0.000
Au 0.594 0.594 0.000
Al 0.000 0.000 0.000
Ag 0.750 0.250 0.500
Ag 0.250 0.750 0.500
CELL_PARAMETERS angstrom
-1.871 1.871 7.087
1.871 -1.871 7.087
1.871 1.871 -7.087
```

As for the energy above the most stable polymorph in this dataset: 0.256 eV per atom. The value obtained for the total energy is -3.098 eV per atom. The value obtained for the total magnetization is 0.000 μB per formula unit.



The following is a DFT calculation (PBE-GGA) of AlAg8Au2 after structural relaxation. Values from VASP.

```
&SYSTEM
  ibrav = 0, nat = 11, ntyp = 3
/
ATOMIC_SPECIES
Au 196.97 Au.upf
Ag 107.87 Ag.upf
Al 26.98 Al.upf
ATOMIC_POSITIONS crystal
Au 0.497 0.117 0.117
Ag 0.201 0.759 0.378
Ag 0.799 0.622 0.241
Ag 0.799 0.241 0.622
Ag 0.652 0.646 0.646
Ag 0.201 0.378 0.759
Ag 0.348 0.354 0.354
Al 0.000 0.000 0.000
Au 0.503 0.883 0.883
Ag 0.075 0.774 0.774
Ag 0.925 0.226 0.226
CELL_PARAMETERS angstrom
4.825 0.489 0.371
0.732 7.165 0.829
0.732 2.728 6.677
```

The value obtained for the total energy is -2.932 eV per atom. The value obtained for the total magnetization is 0.000 μB per formula unit.



The following is a DFT calculation (PBE-GGA) of AlAg2Au after structural relaxation. Values from VASP.

```
&SYSTEM
  ibrav = 0, nat = 4, ntyp = 3
/
ATOMIC_SPECIES
Al 26.98 Al.upf
Ag 107.87 Ag.upf
Au 196.97 Au.upf
ATOMIC_POSITIONS crystal
Al 0.499 0.499 0.499
Ag 0.000 0.000 0.000
Au 0.757 0.757 0.757
Ag 0.244 0.244 0.244
CELL_PARAMETERS angstrom
-2.786 -1.910 8.344
-5.301 -2.590 6.799
-3.089 -4.640 7.069
```

The value obtained for the total energy is -3.247 eV per atom. The value obtained for the total magnetization is 0.000 μB per formula unit.



The following is a DFT calculation (PBE-GGA) of Al2Ag5Au5 after structural relaxation. Values from VASP.

```
&SYSTEM
  ibrav = 0, nat = 12, ntyp = 3
/
ATOMIC_SPECIES
Au 196.97 Au.upf
Al 26.98 Al.upf
Ag 107.87 Ag.upf
ATOMIC_POSITIONS crystal
Au 0.247 0.494 0.205
Au 0.927 0.854 0.595
Al 0.842 0.683 0.196
Au 0.073 0.146 0.405
Ag 0.673 0.347 0.348
Ag 0.500 0.000 0.500
Al 0.158 0.317 0.804
Au 0.753 0.506 0.795
Ag 0.591 0.181 0.923
Au 0.000 0.000 0.000
Ag 0.409 0.819 0.077
Ag 0.327 0.653 0.652
CELL_PARAMETERS angstrom
4.457 0.000 0.000
-2.228 7.439 -0.980
0.000 -4.629 6.971
```

As for the energy above the most stable polymorph in this dataset: 0.000 eV per atom. The value obtained for the total energy is -3.321 eV per atom. The value obtained for the total magnetization is 0.000 μB per formula unit.



The following is a DFT calculation (PBE-GGA) of Al2AgAu2 after structural relaxation. Values from VASP.

```
&SYSTEM
  ibrav = 0, nat = 10, ntyp = 3
/
ATOMIC_SPECIES
Au 196.97 Au.upf
Ag 107.87 Ag.upf
Al 26.98 Al.upf
ATOMIC_POSITIONS crystal
Au 0.609 0.426 0.178
Ag 0.133 0.243 0.799
Al 0.282 0.928 0.085
Al 0.718 0.072 0.915
Al 0.618 0.221 0.509
Au 0.865 0.746 0.617
Al 0.382 0.779 0.491
Ag 0.867 0.757 0.201
Au 0.135 0.254 0.383
Au 0.391 0.574 0.822
CELL_PARAMETERS angstrom
-1.347 1.488 -4.620
-4.772 -2.212 -3.669
-3.913 5.891 1.141
```

As for the energy above the most stable polymorph in this dataset: 0.000 eV per atom. The value obtained for the total energy is -3.623 eV per atom. The value obtained for the total magnetization is 0.000 μB per formula unit.



The following is a DFT calculation (PBE-GGA) of AlAg12Au7 after structural relaxation. Values from VASP.

```
&SYSTEM
  ibrav = 0, nat = 20, ntyp = 3
/
ATOMIC_SPECIES
Ag 107.87 Ag.upf
Au 196.97 Au.upf
Al 26.98 Al.upf
ATOMIC_POSITIONS crystal
Ag 0.771 0.334 0.634
Ag 0.420 0.037 0.313
Ag 0.334 0.634 0.771
Au 0.500 0.500 0.500
Au 0.317 0.020 0.916
Au 0.084 0.683 0.980
Ag 0.229 0.666 0.366
Ag 0.687 0.580 0.963
Ag 0.634 0.771 0.334
Ag 0.037 0.313 0.420
Ag 0.313 0.420 0.037
Au 0.916 0.317 0.020
Au 0.020 0.916 0.317
Ag 0.666 0.366 0.229
Ag 0.366 0.229 0.666
Al 0.000 0.000 0.000
Au 0.980 0.084 0.683
Ag 0.580 0.963 0.687
Au 0.683 0.980 0.084
Ag 0.963 0.687 0.580
CELL_PARAMETERS angstrom
-6.531 0.774 3.796
1.458 -7.450 -0.208
5.376 3.088 4.385
```

The value obtained for the total energy is -3.060 eV per atom. The value obtained for the total magnetization is 0.000 μB per formula unit.



The following is a DFT calculation (PBE-GGA) of AlAgAu2 after structural relaxation. Values from VASP.

```
&SYSTEM
  ibrav = 0, nat = 4, ntyp = 3
/
ATOMIC_SPECIES
Au 196.97 Au.upf
Ag 107.87 Ag.upf
Al 26.98 Al.upf
ATOMIC_POSITIONS crystal
Au 0.250 0.250 0.250
Ag 0.500 0.500 0.500
Au 0.000 0.000 0.000
Al 0.750 0.750 0.750
CELL_PARAMETERS angstrom
4.610 0.000 0.000
2.305 3.993 0.000
2.305 1.331 3.764
```

As for the energy above the most stable polymorph in this dataset: 0.116 eV per atom. The value obtained for the total energy is -3.408 eV per atom. The value obtained for the total magnetization is 0.000 μB per formula unit.